# Sc8Tl2Ga

A relaxed structure of Sc8Tl2Ga (PBE-GGA, Alexandria via LeMat-Bulk).

Geometry as CIF:
```
data_Sc8Tl2Ga
_chemical_formula_sum 'Sc8 Tl2 Ga1'
_cell_length_a 9.013
_cell_length_b 9.013
_cell_length_c 6.314
_cell_angle_alpha 106.85
_cell_angle_beta 106.85
_cell_angle_gamma 31.61
_space_group_name_H-M_alt 'P 1'
_space_group_IT_number 1
loop_
_space_group_symop_operation_xyz
'x,y,z'
loop_
_atom_site_label
_atom_site_type_symbol
_atom_site_fract_x
_atom_site_fract_y
_atom_site_fract_z
Sc1 Sc 0.011 0.011 0.268
Sc2 Sc 0.204 0.204 0.802
Sc3 Sc 0.346 0.346 0.519
Sc4 Sc 0.410 0.410 0.042
Sc5 Sc 0.590 0.590 0.958
Sc6 Sc 0.654 0.654 0.481
Sc7 Sc 0.796 0.796 0.198
Sc8 Sc 0.989 0.989 0.732
Tl1 Tl 0.177 0.177 0.234
Tl2 Tl 0.823 0.823 0.766
Ga1 Ga 0.500 0.500 0.500
```

* calculated formation energy: -0.193 eV/atom
* space-group type: C2/m
* N(E_F): 14.5 states/eV/cell

---

# BeSeCl2

A relaxed structure of BeSeCl2 (PBE-GGA, Alexandria via LeMat-Bulk).

Geometry as CIF:
```
data_BeSeCl2
_chemical_formula_sum 'Be3 Se3 Cl6'
_cell_length_a 3.125
_cell_length_b 3.125
_cell_length_c 34.364
_cell_angle_alpha 90.00
_cell_angle_beta 90.00
_cell_angle_gamma 120.00
_space_group_name_H-M_alt 'P 1'
_space_group_IT_number 1
loop_
_space_group_symop_operation_xyz
'x,y,z'
loop_
_atom_site_label
_atom_site_type_symbol
_atom_site_fract_x
_atom_site_fract_y
_atom_site_fract_z
Be1 Be 0.000 0.000 0.000
Be2 Be 0.333 0.667 0.667
Be3 Be 0.667 0.333 0.333
Se1 Se 0.000 0.000 0.500
Se2 Se 0.333 0.667 0.167
Se3 Se 0.667 0.333 0.833
Cl1 Cl 0.000 0.000 0.296
Cl2 Cl 0.000 0.000 0.704
Cl3 Cl 0.333 0.667 0.371
Cl4 Cl 0.333 0.667 0.963
Cl5 Cl 0.667 0.333 0.037
Cl6 Cl 0.667 0.333 0.629
```

* space-group type: R-3m
* formation energy from raw total energies: -597 meV per atom
* energy above the most stable polymorph in this dataset: 0 meV per atom
* N(E_F): 2.6 states/eV/cell

---

# Pm2HoCd2

A relaxed structure of Pm2HoCd2 (PBE-GGA, Alexandria via LeMat-Bulk).

Geometry as CIF:
```
data_Pm2HoCd2
_chemical_formula_sum 'Pm4 Ho2 Cd4'
_cell_length_a 7.909
_cell_length_b 7.909
_cell_length_c 7.909
_cell_angle_alpha 109.35
_cell_angle_beta 88.77
_cell_angle_gamma 133.65
_space_group_name_H-M_alt 'P 1'
_space_group_IT_number 1
loop_
_space_group_symop_operation_xyz
'x,y,z'
loop_
_atom_site_label
_atom_site_type_symbol
_atom_site_fract_x
_atom_site_fract_y
_atom_site_fract_z
Pm1 Pm 0.117 0.119 0.236
Pm2 Pm 0.383 0.619 0.001
Pm3 Pm 0.617 0.381 0.999
Pm4 Pm 0.883 0.881 0.764
Ho1 Ho 0.250 0.750 0.500
Ho2 Ho 0.750 0.250 0.500
Cd1 Cd 0.139 0.761 0.900
Cd2 Cd 0.361 0.261 0.622
Cd3 Cd 0.639 0.739 0.378
Cd4 Cd 0.861 0.239 0.100
```

* calculated formation energy: 0.060 eV/atom
* space-group type: Ibam
* energy above the most stable polymorph in this dataset: 309 meV per atom
* N(E_F): 13.0 states/eV/cell

---

# USi3

A relaxed structure of USi3 (PBE-GGA, Alexandria via LeMat-Bulk).

Geometry as CIF:
```
data_USi3
_chemical_formula_sum 'U1 Si3'
_cell_length_a 4.019
_cell_length_b 4.019
_cell_length_c 4.019
_cell_angle_alpha 90.00
_cell_angle_beta 90.00
_cell_angle_gamma 90.00
_space_group_name_H-M_alt 'P 1'
_space_group_IT_number 1
loop_
_space_group_symop_operation_xyz
'x,y,z'
loop_
_atom_site_label
_atom_site_type_symbol
_atom_site_fract_x
_atom_site_fract_y
_atom_site_fract_z
U1 U 0.000 0.000 0.000
Si1 Si 0.000 0.500 0.500
Si2 Si 0.500 0.000 0.500
Si3 Si 0.500 0.500 0.000
```

* space-group type: Pm-3m
* formation energy from raw total energies: -383 meV per atom
* N(E_F): 1.9 states/eV/cell

---

# NbTe2Cl

A relaxed structure of NbTe2Cl (PBE-GGA, Alexandria via LeMat-Bulk).

Geometry as CIF:
```
data_NbTe2Cl
_chemical_formula_sum 'Nb3 Te6 Cl3'
_cell_length_a 3.775
_cell_length_b 3.775
_cell_length_c 27.160
_cell_angle_alpha 90.00
_cell_angle_beta 90.00
_cell_angle_gamma 120.00
_space_group_name_H-M_alt 'P 1'
_space_group_IT_number 1
loop_
_space_group_symop_operation_xyz
'x,y,z'
loop_
_atom_site_label
_atom_site_type_symbol
_atom_site_fract_x
_atom_site_fract_y
_atom_site_fract_z
Nb1 Nb 0.000 0.000 0.000
Nb2 Nb 0.333 0.667 0.667
Nb3 Nb 0.667 0.333 0.333
Te1 Te 0.000 0.000 0.399
Te2 Te 0.000 0.000 0.601
Te3 Te 0.333 0.667 0.065
Te4 Te 0.333 0.667 0.268
Te5 Te 0.667 0.333 0.732
Te6 Te 0.667 0.333 0.935
Cl1 Cl 0.000 0.000 0.500
Cl2 Cl 0.333 0.667 0.167
Cl3 Cl 0.667 0.333 0.833
```

* space-group type: R-3m
* formation energy from raw total energies: -344 meV per atom
* energy above the most stable polymorph in this dataset: 0 meV per atom
* N(E_F): 0.8 states/eV/cell

---

# Zr7GaBi2H2

A relaxed structure of Zr7GaBi2H2 (PBE-GGA, Alexandria via LeMat-Bulk).

Geometry as CIF:
```
data_Zr7GaBi2H2
_chemical_formula_sum 'Zr7 Ga1 Bi2 H2'
_cell_length_a 4.303
_cell_length_b 4.303
_cell_length_c 12.789
_cell_angle_alpha 97.95
_cell_angle_beta 97.95
_cell_angle_gamma 89.82
_space_group_name_H-M_alt 'P 1'
_space_group_IT_number 1
loop_
_space_group_symop_operation_xyz
'x,y,z'
loop_
_atom_site_label
_atom_site_type_symbol
_atom_site_fract_x
_atom_site_fract_y
_atom_site_fract_z
Zr1 Zr 0.000 0.000 0.000
Zr2 Zr 0.072 0.574 0.178
Zr3 Zr 0.162 0.162 0.405
Zr4 Zr 0.426 0.928 0.822
Zr5 Zr 0.574 0.072 0.178
Zr6 Zr 0.838 0.838 0.595
Zr7 Zr 0.928 0.426 0.822
Ga1 Ga 0.500 0.500 0.000
Bi1 Bi 0.352 0.352 0.640
Bi2 Bi 0.648 0.648 0.360
H1 H 0.069 0.069 0.167
H2 H 0.931 0.931 0.833
```

* space-group type: C2/m
* N(E_F): 7.7 states/eV/cell
* energy: -6.8488 eV/atom

---

# PmErTm2Tl4

A relaxed structure of PmErTm2Tl4 (PBE-GGA, Alexandria via LeMat-Bulk).

Geometry as CIF:
```
data_PmErTm2Tl4
_chemical_formula_sum 'Pm1 Er1 Tm2 Tl4'
_cell_length_a 9.320
_cell_length_b 9.320
_cell_length_c 9.320
_cell_angle_alpha 33.41
_cell_angle_beta 33.41
_cell_angle_gamma 33.41
_space_group_name_H-M_alt 'P 1'
_space_group_IT_number 1
loop_
_space_group_symop_operation_xyz
'x,y,z'
loop_
_atom_site_label
_atom_site_type_symbol
_atom_site_fract_x
_atom_site_fract_y
_atom_site_fract_z
Pm1 Pm 0.000 0.000 0.000
Er1 Er 0.500 0.500 0.500
Tm1 Tm 0.249 0.249 0.249
Tm2 Tm 0.751 0.751 0.751
Tl1 Tl 0.126 0.126 0.126
Tl2 Tl 0.377 0.377 0.377
Tl3 Tl 0.623 0.623 0.623
Tl4 Tl 0.874 0.874 0.874
```

* calculated formation energy: -0.319 eV/atom
* space-group type: R-3m
* N(E_F): 6.3 states/eV/cell

---

# BaAsIr2

A relaxed structure of BaAsIr2 (PBE-GGA, Alexandria via LeMat-Bulk).

Geometry as CIF:
```
data_BaAsIr2
_chemical_formula_sum 'Ba4 As4 Ir8'
_cell_length_a 6.923
_cell_length_b 6.923
_cell_length_c 6.923
_cell_angle_alpha 90.00
_cell_angle_beta 90.00
_cell_angle_gamma 90.00
_space_group_name_H-M_alt 'P 1'
_space_group_IT_number 1
loop_
_space_group_symop_operation_xyz
'x,y,z'
loop_
_atom_site_label
_atom_site_type_symbol
_atom_site_fract_x
_atom_site_fract_y
_atom_site_fract_z
Ba1 Ba 0.000 0.000 0.000
Ba2 Ba 0.000 0.500 0.500
Ba3 Ba 0.500 0.000 0.500
Ba4 Ba 0.500 0.500 0.000
As1 As 0.250 0.250 0.750
As2 As 0.250 0.750 0.250
As3 As 0.750 0.250 0.250
As4 As 0.750 0.750 0.750
Ir1 Ir 0.000 0.000 0.500
Ir2 Ir 0.000 0.500 0.000
Ir3 Ir 0.250 0.250 0.250
Ir4 Ir 0.250 0.750 0.750
Ir5 Ir 0.500 0.000 0.000
Ir6 Ir 0.500 0.500 0.500
Ir7 Ir 0.750 0.250 0.750
Ir8 Ir 0.750 0.750 0.250
```

* calculated formation energy: 0.717 eV/atom
* space-group type: F-43m
* N(E_F): 23.1 states/eV/cell

---

# YHg6Pd12

A relaxed structure of YHg6Pd12 (PBE-GGA, Alexandria via LeMat-Bulk).

Geometry as CIF:
```
data_YHg6Pd12
_chemical_formula_sum 'Y1 Hg6 Pd12'
_cell_length_a 7.228
_cell_length_b 7.228
_cell_length_c 7.228
_cell_angle_alpha 101.68
_cell_angle_beta 101.68
_cell_angle_gamma 101.68
_space_group_name_H-M_alt 'P 1'
_space_group_IT_number 1
loop_
_space_group_symop_operation_xyz
'x,y,z'
loop_
_atom_site_label
_atom_site_type_symbol
_atom_site_fract_x
_atom_site_fract_y
_atom_site_fract_z
Y1 Y 0.000 0.000 0.000
Hg1 Hg 0.176 0.178 0.444
Hg2 Hg 0.178 0.444 0.176
Hg3 Hg 0.444 0.176 0.178
Hg4 Hg 0.556 0.824 0.822
Hg5 Hg 0.822 0.556 0.824
Hg6 Hg 0.824 0.822 0.556
Pd1 Pd 0.000 0.256 0.744
Pd2 Pd 0.000 0.744 0.256
Pd3 Pd 0.182 0.594 0.593
Pd4 Pd 0.256 0.000 0.744
Pd5 Pd 0.256 0.744 0.000
Pd6 Pd 0.406 0.407 0.818
Pd7 Pd 0.407 0.818 0.406
Pd8 Pd 0.593 0.182 0.594
Pd9 Pd 0.594 0.593 0.182
Pd10 Pd 0.744 0.000 0.256
Pd11 Pd 0.744 0.256 0.000
Pd12 Pd 0.818 0.406 0.407
```

* calculated formation energy: -0.128 eV/atom
* space-group type: R-3
* N(E_F): 10.9 states/eV/cell

---

# Hf2TeRh

A relaxed structure of Hf2TeRh (PBE-GGA, Alexandria via LeMat-Bulk).

Geometry as CIF:
```
data_Hf2TeRh
_chemical_formula_sum 'Hf6 Te3 Rh3'
_cell_length_a 3.170
_cell_length_b 3.170
_cell_length_c 29.632
_cell_angle_alpha 90.00
_cell_angle_beta 90.00
_cell_angle_gamma 120.00
_space_group_name_H-M_alt 'P 1'
_space_group_IT_number 1
loop_
_space_group_symop_operation_xyz
'x,y,z'
loop_
_atom_site_label
_atom_site_type_symbol
_atom_site_fract_x
_atom_site_fract_y
_atom_site_fract_z
Hf1 Hf 0.000 0.000 0.082
Hf2 Hf 0.000 0.000 0.918
Hf3 Hf 0.333 0.667 0.584
Hf4 Hf 0.333 0.667 0.749
Hf5 Hf 0.667 0.333 0.251
Hf6 Hf 0.667 0.333 0.416
Te1 Te 0.000 0.000 0.500
Te2 Te 0.333 0.667 0.167
Te3 Te 0.667 0.333 0.833
Rh1 Rh 0.000 0.000 0.000
Rh2 Rh 0.333 0.667 0.667
Rh3 Rh 0.667 0.333 0.333
```

* space-group type: R-3m
* formation energy from raw total energies: 145 meV per atom
* N(E_F): 13.5 states/eV/cell

---

# PmCuPd2

A relaxed structure of PmCuPd2 (PBE-GGA, Alexandria via LeMat-Bulk).

Geometry as CIF:
```
data_PmCuPd2
_chemical_formula_sum 'Pm1 Cu1 Pd2'
_cell_length_a 3.504
_cell_length_b 3.504
_cell_length_c 5.994
_cell_angle_alpha 90.00
_cell_angle_beta 90.00
_cell_angle_gamma 90.00
_space_group_name_H-M_alt 'P 1'
_space_group_IT_number 1
loop_
_space_group_symop_operation_xyz
'x,y,z'
loop_
_atom_site_label
_atom_site_type_symbol
_atom_site_fract_x
_atom_site_fract_y
_atom_site_fract_z
Pm1 Pm 0.000 0.000 0.000
Cu1 Cu 0.000 0.000 0.500
Pd1 Pd 0.500 0.500 0.276
Pd2 Pd 0.500 0.500 0.724
```

* calculated formation energy: -0.460 eV/atom
* space-group type: P4/mmm
* energy above the most stable polymorph in this dataset: 137 meV per atom
* N(E_F): 1.3 states/eV/cell

---

# La2MgZn4Si3

A relaxed structure of La2MgZn4Si3 (PBE-GGA, Alexandria via LeMat-Bulk).

Geometry as CIF:
```
data_La2MgZn4Si3
_chemical_formula_sum 'La2 Mg1 Zn4 Si3'
_cell_length_a 4.267
_cell_length_b 4.267
_cell_length_c 10.701
_cell_angle_alpha 90.00
_cell_angle_beta 90.00
_cell_angle_gamma 90.00
_space_group_name_H-M_alt 'P 1'
_space_group_IT_number 1
loop_
_space_group_symop_operation_xyz
'x,y,z'
loop_
_atom_site_label
_atom_site_type_symbol
_atom_site_fract_x
_atom_site_fract_y
_atom_site_fract_z
La1 La 0.000 0.500 0.240
La2 La 0.500 0.000 0.760
Mg1 Mg 0.000 0.000 0.500
Zn1 Zn 0.000 0.000 0.000
Zn2 Zn 0.000 0.500 0.641
Zn3 Zn 0.500 0.000 0.359
Zn4 Zn 0.500 0.500 0.000
Si1 Si 0.000 0.500 0.868
Si2 Si 0.500 0.000 0.132
Si3 Si 0.500 0.500 0.500
```

* space-group type: P-4m2
* formation energy from raw total energies: -412 meV per atom
* N(E_F): 2.9 states/eV/cell

---

# KNbAg2Se4

A relaxed structure of KNbAg2Se4 (PBE-GGA, Alexandria via LeMat-Bulk).

Geometry as CIF:
```
data_KNbAg2Se4
_chemical_formula_sum 'K2 Nb2 Ag4 Se8'
_cell_length_a 6.672
_cell_length_b 7.871
_cell_length_c 8.908
_cell_angle_alpha 90.00
_cell_angle_beta 90.00
_cell_angle_gamma 90.00
_space_group_name_H-M_alt 'P 1'
_space_group_IT_number 1
loop_
_space_group_symop_operation_xyz
'x,y,z'
loop_
_atom_site_label
_atom_site_type_symbol
_atom_site_fract_x
_atom_site_fract_y
_atom_site_fract_z
K1 K 0.000 0.000 0.000
K2 K 0.500 0.500 0.500
Nb1 Nb 0.000 0.000 0.500
Nb2 Nb 0.500 0.500 0.000
Ag1 Ag 0.000 0.500 0.165
Ag2 Ag 0.000 0.500 0.835
Ag3 Ag 0.500 0.000 0.335
Ag4 Ag 0.500 0.000 0.665
Se1 Se 0.192 0.192 0.339
Se2 Se 0.192 0.808 0.661
Se3 Se 0.308 0.308 0.839
Se4 Se 0.308 0.692 0.161
Se5 Se 0.692 0.308 0.161
Se6 Se 0.692 0.692 0.839
Se7 Se 0.808 0.192 0.661
Se8 Se 0.808 0.808 0.339
```

* space-group type: I222
* formation energy from raw total energies: -588 meV per atom
* energy above the most stable polymorph in this dataset: 83 meV per atom
* N(E_F): 0.0 states/eV/cell